{
  "formula": "RbCu2SF",
  "functional": "PBE",
  "state": "relaxed",
  "dft_energy_ha_per_atom": -0.1116,
  "magnetic_moment_mub_per_fu": 0.00,
  "raw_formation_energy_ev_per_atom": -0.006,
  "space_group": "P4/mmm (123)",
  "crystal_system": "tetragonal",
  "cell": [[4.2663, 0.0000, 0.0000], [0.0000, 4.2663, 0.0000], [0.0000, 0.0000, 6.0231]],
  "species": ["Rb", "Cu", "Cu", "S", "F"],
  "fractional_positions": [[0.0000, 0.0000, 0.0000], [0.0000, 0.5000, 0.5000], [0.5000, 0.0000, 0.5000], [0.5000, 0.5000, 0.0000], [0.5000, 0.5000, 0.5000]]
}

{
  "formula": "TlAg7Au2",
  "functional": "PBE",
  "state": "relaxed",
  "dft_energy_ha_per_atom": -0.0956,
  "magnetic_moment_mub_per_fu": 0.00,
  "space_group": "Cmmm (65)",
  "delta_e_f_ev_per_atom": 0.286,
  "crystal_system": "orthorhombic",
  "cell": [[3.7787, -6.8786, 0.0000], [3.7787, 6.8786, 0.0000], [0.0000, 0.0000, 4.7578]],
  "species": ["Tl", "Ag", "Ag", "Ag", "Ag", "Ag", "Ag", "Ag", "Au", "Au"],
  "fractional_positions": [[0.0000, 0.0000, 0.0000], [0.0735, 0.2905, 0.5000], [0.2029, 0.7971, 0.0000], [0.2905, 0.0735, 0.5000], [0.5000, 0.5000, 0.5000], [0.7095, 0.9265, 0.5000], [0.7971, 0.2029, 0.0000], [0.9265, 0.7095, 0.5000], [0.2969, 0.7031, 0.5000], [0.7031, 0.2969, 0.5000]]
}

{
  "formula": "Ce5Ge4",
  "functional": "PBE",
  "state": "relaxed",
  "dft_energy_ha_per_atom": -0.2227,
  "magnetic_moment_mub_per_fu": 4.26,
  "space_group": "Pnma (62)",
  "delta_e_f_ev_per_atom": -0.710,
  "crystal_system": "orthorhombic",
  "cell": [[7.8158, 0.0000, 0.0000], [0.0000, 14.8063, 0.0000], [0.0000, 0.0000, 7.9091]],
  "species": ["Ce", "Ce", "Ce", "Ce", "Ce", "Ce", "Ce", "Ce", "Ce", "Ce", "Ce", "Ce", "Ce", "Ce", "Ce", "Ce", "Ce", "Ce", "Ce", "Ce", "Ge", "Ge", "Ge", "Ge", "Ge", "Ge", "Ge", "Ge", "Ge", "Ge", "Ge", "Ge", "Ge", "Ge", "Ge", "Ge"],
  "fractional_positions": [[0.0212, 0.1007, 0.1860], [0.0212, 0.3993, 0.1860], [0.1117, 0.6184, 0.3344], [0.1117, 0.8816, 0.3344], [0.1998, 0.2500, 0.5044], [0.3002, 0.7500, 0.0044], [0.3883, 0.1184, 0.8344], [0.3883, 0.3816, 0.8344], [0.4788, 0.6007, 0.6860], [0.4788, 0.8993, 0.6860], [0.5212, 0.1007, 0.3140], [0.5212, 0.3993, 0.3140], [0.6117, 0.6184, 0.1656], [0.6117, 0.8816, 0.1656], [0.6998, 0.2500, 0.9956], [0.8002, 0.7500, 0.4956], [0.8883, 0.1184, 0.6656], [0.8883, 0.3816, 0.6656], [0.9788, 0.6007, 0.8140], [0.9788, 0.8993, 0.8140], [0.0820, 0.2500, 0.8943], [0.1813, 0.7500, 0.6358], [0.2224, 0.0411, 0.5320], [0.2224, 0.4589, 0.5320], [0.2776, 0.5411, 0.0320], [0.2776, 0.9589, 0.0320], [0.3187, 0.2500, 0.1358], [0.4180, 0.7500, 0.3943], [0.5820, 0.2500, 0.6057], [0.6813, 0.7500, 0.8642], [0.7224, 0.0411, 0.9680], [0.7224, 0.4589, 0.9680], [0.7776, 0.5411, 0.4680], [0.7776, 0.9589, 0.4680], [0.8187, 0.2500, 0.3642], [0.9180, 0.7500, 0.1057]]
}

{
  "formula": "Al2Cr2Se",
  "functional": "PBE",
  "state": "relaxed",
  "dft_energy_ha_per_atom": -0.2116,
  "magnetic_moment_mub_per_fu": 0.00,
  "raw_formation_energy_ev_per_atom": 0.285,
  "space_group": "I4/mmm (139)",
  "crystal_system": "tetragonal",
  "cell": [[-1.6357, 1.6357, 7.3762], [1.6357, -1.6357, 7.3762], [1.6357, 1.6357, -7.3762]],
  "species": ["Al", "Al", "Cr", "Cr", "Se"],
  "fractional_positions": [[0.1064, 0.1064, 0.0000], [0.8936, 0.8936, 0.0000], [0.2500, 0.7500, 0.5000], [0.7500, 0.2500, 0.5000], [0.5000, 0.5000, 0.0000]]
}

{
  "formula": "CaDy2Rh2",
  "functional": "PBE",
  "state": "relaxed",
  "dft_energy_ha_per_atom": -0.2121,
  "magnetic_moment_mub_per_fu": 0.00,
  "space_group": "C2/m (12)",
  "delta_e_f_ev_per_atom": -0.591,
  "crystal_system": "monoclinic",
  "cell": [[4.2588, -2.4645, 0.0000], [4.2588, 2.4645, 0.0000], [-0.0083, 0.0000, 5.7173]],
  "species": ["Ca", "Dy", "Dy", "Rh", "Rh"],
  "fractional_positions": [[0.0000, 0.0000, 0.0000], [0.3333, 0.3333, 0.6750], [0.6667, 0.6667, 0.3250], [0.3335, 0.3335, 0.1823], [0.6665, 0.6665, 0.8177]]
}

{
  "formula": "BeAl2Sb",
  "functional": "PBE",
  "state": "relaxed",
  "dft_energy_ha_per_atom": -0.1280,
  "magnetic_moment_mub_per_fu": 0.00,
  "raw_formation_energy_ev_per_atom": 0.349,
  "space_group": "P2/m (10)",
  "crystal_system": "monoclinic",
  "cell": [[4.0545, 0.0000, 0.0000], [0.0000, 4.1566, 0.0000], [-1.2161, 0.0000, 4.4772]],
  "species": ["Be", "Al", "Al", "Sb"],
  "fractional_positions": [[0.0000, 0.0000, 0.0000], [0.1763, 0.5000, 0.7928], [0.8237, 0.5000, 0.2072], [0.5000, 0.0000, 0.5000]]
}

{
  "formula": "FeSiRu2",
  "functional": "PBE",
  "state": "relaxed",
  "dft_energy_ha_per_atom": -0.2977,
  "magnetic_moment_mub_per_fu": 3.02,
  "raw_formation_energy_ev_per_atom": 0.007,
  "space_group": "F-43m (216)",
  "crystal_system": "cubic",
  "cell": [[0.0000, 2.9672, 2.9672], [2.9672, 0.0000, 2.9672], [2.9672, 2.9672, 0.0000]],
  "species": ["Fe", "Si", "Ru", "Ru"],
  "fractional_positions": [[0.0000, 0.0000, 0.0000], [0.2500, 0.2500, 0.2500], [0.5000, 0.5000, 0.5000], [0.7500, 0.7500, 0.7500]]
}

{
  "formula": "CoW",
  "functional": "PBE",
  "state": "relaxed",
  "dft_energy_ha_per_atom": -0.3584,
  "magnetic_moment_mub_per_fu": 0.43,
  "space_group": "P6_3/mmc (194)",
  "delta_e_f_ev_per_atom": 0.278,
  "crystal_system": "hexagonal",
  "cell": [[2.7155, 0.0000, 0.0000], [-1.3577, 2.3516, 0.0000], [0.0000, 0.0000, 8.5320]],
  "species": ["Co", "Co", "W", "W"],
  "fractional_positions": [[0.3333, 0.6667, 0.2500], [0.6667, 0.3333, 0.7500], [0.0000, 0.0000, 0.0000], [0.0000, 0.0000, 0.5000]]
}

{
  "formula": "HoLuMnFe",
  "functional": "PBE",
  "state": "relaxed",
  "dft_energy_ha_per_atom": -0.2404,
  "magnetic_moment_mub_per_fu": 4.63,
  "space_group": "F-43m (216)",
  "delta_e_f_ev_per_atom": 0.141,
  "crystal_system": "cubic",
  "cell": [[0.0000, 3.4102, 3.4102], [3.4102, 0.0000, 3.4102], [3.4102, 3.4102, 0.0000]],
  "species": ["Ho", "Lu", "Mn", "Fe"],
  "fractional_positions": [[0.0000, 0.0000, 0.0000], [0.5000, 0.5000, 0.5000], [0.2500, 0.2500, 0.2500], [0.7500, 0.7500, 0.7500]]
}

{
  "formula": "LiV2GeBr",
  "functional": "PBE",
  "state": "relaxed",
  "dft_energy_ha_per_atom": -0.1775,
  "magnetic_moment_mub_per_fu": 6.00,
  "raw_formation_energy_ev_per_atom": 0.457,
  "space_group": "P4/mmm (123)",
  "crystal_system": "tetragonal",
  "cell": [[4.8651, 0.0000, 0.0000], [0.0000, 4.8651, 0.0000], [0.0000, 0.0000, 4.8090]],
  "species": ["Li", "V", "V", "Ge", "Br"],
  "fractional_positions": [[0.0000, 0.0000, 0.0000], [0.0000, 0.5000, 0.5000], [0.5000, 0.0000, 0.5000], [0.0000, 0.0000, 0.5000], [0.5000, 0.5000, 0.0000]]
}

{
  "formula": "RbLiCo2",
  "functional": "PBE",
  "state": "relaxed",
  "dft_energy_ha_per_atom": -0.1030,
  "magnetic_moment_mub_per_fu": 3.46,
  "space_group": "Fm-3m (225)",
  "delta_e_f_ev_per_atom": 1.471,
  "crystal_system": "cubic",
  "cell": [[0.0000, 3.5006, 3.5006], [3.5006, 0.0000, 3.5006], [3.5006, 3.5006, 0.0000]],
  "species": ["Rb", "Li", "Co", "Co"],
  "fractional_positions": [[0.0000, 0.0000, 0.0000], [0.5000, 0.5000, 0.5000], [0.2500, 0.2500, 0.2500], [0.7500, 0.7500, 0.7500]]
}

{
  "formula": "Li2ZnH4",
  "functional": "PBE",
  "state": "relaxed",
  "dft_energy_ha_per_atom": -0.1050,
  "magnetic_moment_mub_per_fu": 0.00,
  "space_group": "Cmcm (63)",
  "crystal_system": "orthorhombic",
  "cell": [[2.6867, -4.0972, 0.0000], [2.6867, 4.0972, 0.0000], [0.0000, 0.0000, 5.9841]],
  "species": ["Li", "Li", "Li", "Li", "Zn", "Zn", "H", "H", "H", "H", "H", "H", "H", "H"],
  "fractional_positions": [[0.0000, 0.0000, 0.0000], [0.0000, 0.0000, 0.5000], [0.3335, 0.6665, 0.7500], [0.6665, 0.3335, 0.2500], [0.3503, 0.6497, 0.2500], [0.6497, 0.3503, 0.7500], [0.2364, 0.7636, 0.0272], [0.2364, 0.7636, 0.4728], [0.2376, 0.2769, 0.2500], [0.2769, 0.2376, 0.7500], [0.7231, 0.7624, 0.2500], [0.7624, 0.7231, 0.7500], [0.7636, 0.2364, 0.5272], [0.7636, 0.2364, 0.9728]]
}